Entry 1:
This record from Alexandria via LeMat-Bulk describes a geometry-optimized Li4CrCd structure. The functional is GGA-PBE.

Computed properties:
Mass density = 3.138 Mg/m³
Space-group type = F-43m, No. 216

a = 5.239 Å, b = 5.239 Å, c = 5.239 Å
α = 60.00°, β = 60.00°, γ = 60.00°
Fractional positions:
Cr1 0.000 0.000 0.000
Li1 0.375 0.375 0.876
Li2 0.375 0.375 0.375
Li3 0.375 0.876 0.375
Cd1 0.750 0.750 0.750
Li4 0.876 0.375 0.375

---

Entry 2:
This record from Alexandria via LeMat-Bulk describes a geometry-optimized LaZrAs structure. The functional is GGA-PBE.

Computed properties:
Energy relative to the lowest polymorph listed for this composition = 191 meV per atom
Mass density = 6.500 Mg/m³
Space-group type = Pm, No. 6

a = 6.321 Å, b = 3.859 Å, c = 6.535 Å
α = 90.00°, β = 102.12°, γ = 90.00°
Fractional positions:
La1 0.608 0.000 0.468
La2 0.072 0.500 0.281
As1 0.499 0.500 0.107
Zr1 0.260 0.000 0.838
As2 0.943 0.500 0.738
Zr2 0.754 0.000 0.954

---

| no. | calculated total energy (eV per atom) |
| --- | --- |
| 1 | -2.8425 |
| 2 | -6.8471 |